# Li2SiNiO4 | Alexandria via LeMat-Bulk | GGA+U | relaxed
data_Li2SiNiO4
_chemical_formula_sum 'Li6 Si3 Ni3 O12'
_space_group_name_H-M_alt 'P 1'
_space_group_IT_number 1
_cell_length_a 5.0174
_cell_length_b 5.0174
_cell_length_c 11.4743
_cell_angle_alpha 90.00
_cell_angle_beta 90.00
_cell_angle_gamma 120.00
loop_
_space_group_symop_operation_xyz
'x,y,z'
loop_
_atom_site_label
_atom_site_type_symbol
_atom_site_fract_x
_atom_site_fract_y
_atom_site_fract_z
_atom_site_occupancy
Li1 Li 0.4570 0.3222 0.7469 1
O1 O 0.8997 0.5386 0.7780 1
Li2 Li 0.2120 0.2355 0.2514 1
Si1 Si 0.5093 0.8560 0.3341 1
Si2 Si 0.3466 0.4907 0.0008 1
O2 O 0.1817 0.3542 0.6297 1
Li3 Li 0.6778 0.1348 0.0803 1
Ni1 Ni 0.2990 0.1865 0.4926 1
O3 O 0.0103 0.7686 0.5591 1
O4 O 0.7583 0.9897 0.2258 1
O5 O 0.1726 0.8183 0.2963 1
O6 O 0.6389 0.1003 0.4446 1
O7 O 0.4614 0.3611 0.1113 1
O8 O 0.4585 0.5186 0.3742 1
O9 O 0.0600 0.5415 0.0408 1
Si3 Si 0.1440 0.6534 0.6675 1
Li4 Li 0.0236 0.7880 0.9181 1
Li5 Li 0.7645 0.9764 0.5847 1
Ni2 Ni 0.8876 0.7010 0.1592 1
O10 O 0.6458 0.8274 0.9630 1
Li6 Li 0.8652 0.5430 0.4136 1
O11 O 0.2314 0.2417 0.8924 1
Ni3 Ni 0.8135 0.1124 0.8259 1
O12 O 0.4814 0.9400 0.7075 1
# * final energy: -48.42 eV per formula unit
# * E above lowest polymorph: 0.47 eV/f.u.
# * size of the total moment: 1.998 μB/f.u.